# Cs2RuAuF6 PBE-GGA relaxed
data_Cs2RuAuF6
_chemical_formula_sum 'Cs2 Ru1 Au1 F6'
_symmetry_space_group_name_H-M 'P 1'
_symmetry_Int_Tables_number 1
_cell_length_a 6.458
_cell_length_b 6.458
_cell_length_c 6.458
_cell_angle_alpha 60.00
_cell_angle_beta 60.00
_cell_angle_gamma 60.00
loop_
_symmetry_equiv_pos_as_xyz
'x,y,z'
loop_
_atom_site_label
_atom_site_type_symbol
_atom_site_fract_x
_atom_site_fract_y
_atom_site_fract_z
Cs1 Cs 0.750 0.750 0.750
Cs2 Cs 0.250 0.250 0.250
Ru1 Ru 0.000 0.000 0.000
Au1 Au 0.500 0.500 0.500
F1 F 0.223 0.777 0.223
F2 F 0.777 0.223 0.223
F3 F 0.777 0.223 0.777
F4 F 0.223 0.223 0.777
F5 F 0.777 0.777 0.223
F6 F 0.223 0.777 0.777
# Density: 5.91 Mg/m³
# Total magnetic moment: 1.27 μB/f.u.
# Formation energy from raw total energies: -1823 meV per atom
# Space-group type: Fm-3m, No. 225

***

# CdIn2As PBE-GGA relaxed
data_CdIn2As
_chemical_formula_sum 'Cd1 In2 As1'
_symmetry_space_group_name_H-M 'P 1'
_symmetry_Int_Tables_number 1
_cell_length_a 3.145
_cell_length_b 5.692
_cell_length_c 6.138
_cell_angle_alpha 62.09
_cell_angle_beta 90.00
_cell_angle_gamma 90.00
loop_
_symmetry_equiv_pos_as_xyz
'x,y,z'
loop_
_atom_site_label
_atom_site_type_symbol
_atom_site_fract_x
_atom_site_fract_y
_atom_site_fract_z
As1 As 0.500 0.500 0.500
Cd1 Cd 0.000 0.000 0.500
In1 In 0.000 0.000 0.000
In2 In 0.500 0.500 0.000
# Density: 7.13 Mg/m³
# Total magnetic moment: 0.00 μB/f.u.
# DFT formation energy: 11.7 kJ/mol of atoms
# Space-group type: P2/m, No. 10
# Relative energy among the computed polymorphs: 0.117 eV/atom

***

# Pm4SmEr5 PBE-GGA relaxed
data_Pm4SmEr5
_chemical_formula_sum 'Pm4 Sm1 Er5'
_symmetry_space_group_name_H-M 'P 1'
_symmetry_Int_Tables_number 1
_cell_length_a 3.527
_cell_length_b 11.190
_cell_length_c 8.749
_cell_angle_alpha 90.14
_cell_angle_beta 101.62
_cell_angle_gamma 90.04
loop_
_symmetry_equiv_pos_as_xyz
'x,y,z'
loop_
_atom_site_label
_atom_site_type_symbol
_atom_site_fract_x
_atom_site_fract_y
_atom_site_fract_z
Pm1 Pm 0.652 0.250 0.312
Pm2 Pm 0.967 0.252 0.937
Pm3 Pm 0.348 0.750 0.688
Pm4 Pm 0.033 0.748 0.063
Sm1 Sm 0.500 0.000 0.000
Er1 Er 0.172 0.548 0.346
Er2 Er 0.173 0.948 0.349
Er3 Er 0.827 0.052 0.651
Er4 Er 0.500 0.500 0.000
Er5 Er 0.828 0.452 0.654
# Density: 7.69 Mg/m³
# Total magnetic moment: 0.00 μB/f.u.
# DFT formation energy: 18.7 kJ/mol of atoms
# Space-group type: P-1, No. 2
# Relative energy among the computed polymorphs: 0.000 eV/atom

***

# Sc2TeN2 PBE-GGA relaxed
data_Sc2TeN2
_chemical_formula_sum 'Sc2 Te1 N2'
_symmetry_space_group_name_H-M 'P 1'
_symmetry_Int_Tables_number 1
_cell_length_a 3.738
_cell_length_b 3.738
_cell_length_c 7.151
_cell_angle_alpha 74.85
_cell_angle_beta 74.85
_cell_angle_gamma 90.00
loop_
_symmetry_equiv_pos_as_xyz
'x,y,z'
loop_
_atom_site_label
_atom_site_type_symbol
_atom_site_fract_x
_atom_site_fract_y
_atom_site_fract_z
Sc1 Sc 0.321 0.321 0.359
Sc2 Sc 0.679 0.679 0.641
Te1 Te 0.000 0.000 0.000
N1 N 0.750 0.250 0.500
N2 N 0.250 0.750 0.500
# Density: 4.39 Mg/m³
# Total magnetic moment: 0.00 μB/f.u.
# Formation energy from raw total energies: -942 meV per atom
# Space-group type: I4/mmm, No. 139

***

# Cs2SnIBr3 PBE-GGA relaxed
data_Cs2SnIBr3
_chemical_formula_sum 'Cs2 Sn1 I1 Br3'
_symmetry_space_group_name_H-M 'P 1'
_symmetry_Int_Tables_number 1
_cell_length_a 6.222
_cell_length_b 5.907
_cell_length_c 10.137
_cell_angle_alpha 106.94
_cell_angle_beta 107.87
_cell_angle_gamma 90.00
loop_
_symmetry_equiv_pos_as_xyz
'x,y,z'
loop_
_atom_site_label
_atom_site_type_symbol
_atom_site_fract_x
_atom_site_fract_y
_atom_site_fract_z
Cs1 Cs 0.644 0.644 0.287
Cs2 Cs 0.356 0.356 0.713
Sn1 Sn 0.000 0.000 0.000
I1 I 0.500 0.000 0.000
Br1 Br 0.000 0.500 0.000
Br2 Br 0.162 0.162 0.324
Br3 Br 0.838 0.838 0.676
# Density: 3.69 Mg/m³
# Total magnetic moment: 0.00 μB/f.u.
# Formation energy from raw total energies: -1299 meV per atom
# Space-group type: Immm, No. 71

***

# KCa2Ag PBE-GGA relaxed
data_KCa2Ag
_chemical_formula_sum 'K1 Ca2 Ag1'
_symmetry_space_group_name_H-M 'P 1'
_symmetry_Int_Tables_number 1
_cell_length_a 4.163
_cell_length_b 4.240
_cell_length_c 9.610
_cell_angle_alpha 77.23
_cell_angle_beta 90.00
_cell_angle_gamma 90.00
loop_
_symmetry_equiv_pos_as_xyz
'x,y,z'
loop_
_atom_site_label
_atom_site_type_symbol
_atom_site_fract_x
_atom_site_fract_y
_atom_site_fract_z
Ag1 Ag 0.500 0.514 0.848
Ca1 Ca 0.000 0.974 0.927
Ca2 Ca 0.500 0.343 0.189
K1 K 0.000 0.669 0.536
# Density: 2.28 Mg/m³
# Total magnetic moment: 0.00 μB/f.u.
# DFT formation energy: -2.8 kJ/mol of atoms
# Space-group type: Amm2, No. 38
# Relative energy among the computed polymorphs: 0.056 eV/atom

***

# BaYTe PBE-GGA relaxed
data_BaYTe
_chemical_formula_sum 'Ba1 Y1 Te1'
_symmetry_space_group_name_H-M 'P 1'
_symmetry_Int_Tables_number 1
_cell_length_a 5.298
_cell_length_b 5.298
_cell_length_c 4.774
_cell_angle_alpha 90.00
_cell_angle_beta 90.00
_cell_angle_gamma 120.00
loop_
_symmetry_equiv_pos_as_xyz
'x,y,z'
loop_
_atom_site_label
_atom_site_type_symbol
_atom_site_fract_x
_atom_site_fract_y
_atom_site_fract_z
Ba1 Ba 0.000 0.000 0.000
Te1 Te 0.667 0.333 0.500
Y1 Y 0.333 0.667 0.500
# Density: 5.06 Mg/m³
# Total magnetic moment: 0.33 μB/f.u.
# Formation energy from raw total energies: -643 meV per atom
# Space-group type: P-6m2, No. 187
# Relative energy among the computed polymorphs: 0.148 eV/atom

***

# LaTb9Sm2 PBE-GGA relaxed
data_LaTb9Sm2
_chemical_formula_sum 'La1 Tb9 Sm2'
_symmetry_space_group_name_H-M 'P 1'
_symmetry_Int_Tables_number 1
_cell_length_a 3.536
_cell_length_b 11.367
_cell_length_c 11.367
_cell_angle_alpha 120.00
_cell_angle_beta 90.00
_cell_angle_gamma 90.00
loop_
_symmetry_equiv_pos_as_xyz
'x,y,z'
loop_
_atom_site_label
_atom_site_type_symbol
_atom_site_fract_x
_atom_site_fract_y
_atom_site_fract_z
La1 La 0.000 0.000 0.000
Tb1 Tb 0.000 0.000 0.500
Tb2 Tb 0.000 0.500 0.500
Tb3 Tb 0.000 0.500 0.000
Tb4 Tb 0.500 0.354 0.177
Tb5 Tb 0.500 0.177 0.823
Tb6 Tb 0.500 0.177 0.354
Tb7 Tb 0.500 0.823 0.646
Tb8 Tb 0.500 0.823 0.177
Tb9 Tb 0.500 0.646 0.823
Sm1 Sm 0.000 0.333 0.667
Sm2 Sm 0.000 0.667 0.333
# Density: 7.85 Mg/m³
# Total magnetic moment: 0.00 μB/f.u.
# DFT formation energy: 4.2 kJ/mol of atoms
# Space-group type: P6/mmm, No. 191
# Relative energy among the computed polymorphs: 0.022 eV/atom